[1]
# YHf2TlF

An optimized crystal structure of YHf2TlF (GGA-PBE, Alexandria via LeMat-Bulk).

Values from the calculation:
D(E_F): 6.61 states/eV per cell
size of the total moment: 1.9 μB/f.u.
E_form (uncorrected): 0.5953 eV/atom

a = 5.5509 Å, b = 4.6110 Å, c = 5.5509 Å
α = 90.00°, β = 90.00°, γ = 90.00°
Each line ends with the local moment (μB).
Fractional positions:
1 F 0.0000 0.5000 0.0000  0.00
2 Tl 0.0000 0.0000 0.0000  0.04
3 Y 0.5000 0.5000 0.5000  0.32
4 Hf 0.5000 0.0000 0.0000  0.41
5 Hf 0.0000 0.0000 0.5000  0.37


[2]
# TaCrBr2

An optimized crystal structure of TaCrBr2 (GGA-PBE, Alexandria via LeMat-Bulk).

Values from the calculation:
D(E_F): 2.27 states/eV per cell
size of the total moment: 3.7 μB/f.u.
E_form (uncorrected): 0.5540 eV/atom

a = 4.4790 Å, b = 3.2430 Å, c = 5.7166 Å
α = 94.57°, β = 90.00°, γ = 90.00°
Each line ends with the local moment (μB).
Fractional positions:
1 Ta 0.5000 0.7500 0.7500  -0.38
2 Br 0.0000 0.9457 0.9948  0.02
3 Cr 0.5000 0.2500 0.2500  3.76
4 Br 0.0000 0.5543 0.5052  0.02


[3]
# Tb8Cu2Hg

An optimized crystal structure of Tb8Cu2Hg (GGA-PBE, Alexandria via LeMat-Bulk).

Values from the calculation:
E_form: -0.1486 eV/atom
D(E_F): 9.53 states/eV per cell
size of the total moment: 0.0 μB/f.u.

a = 5.1054 Å, b = 6.9710 Å, c = 9.2420 Å
α = 107.36°, β = 106.03°, γ = 90.00°
Fractional positions:
1 Tb 0.8025 0.6692 0.6051
2 Tb 0.0335 0.7718 0.0670
3 Tb 0.3240 0.0123 0.6480
4 Tb 0.1975 0.3308 0.3949
5 Cu 0.8189 0.2851 0.6378
6 Tb 0.4058 0.5291 0.8116
7 Tb 0.9665 0.2282 0.9330
8 Hg 0.5000 0.0000 0.0000
9 Tb 0.5942 0.4709 0.1884
10 Cu 0.1811 0.7149 0.3622
11 Tb 0.6760 0.9877 0.3520